The following is a PBE calculation of an optimized crystal structure of Ca2ThPaBi4, from Alexandria.

Results
E_form = -598 meV per atom
V = 273 Å³/cell
E_tot = -5.154 eV/atom
symmetry = P2/m (10)

Cell: 7.9369 4.5934 7.9560 Å, 90.00 109.53 90.00°
With the nearest neighbours (Å) after each atom.
Element x y z (fractional)
Ca: 0.0000 0.0000 0.0000  6 Bi 3.25
Ca: 0.0000 0.5000 0.5000  6 Bi 3.30-3.31
Th: 0.5000 0.0000 0.5000  6 Bi 3.24
Pa: 0.5000 0.5000 0.0000  6 Bi 3.18-3.19
Bi: 0.2555 0.5000 0.2460  1 Pa 3.18, 2 Th 3.24, 3 Ca 3.25-3.31
Bi: 0.2586 0.0000 0.7582  2 Pa 3.19, 1 Th 3.24, 3 Ca 3.25-3.30
Bi: 0.7414 0.0000 0.2418  2 Pa 3.19, 1 Th 3.24, 3 Ca 3.25-3.30
Bi: 0.7445 0.5000 0.7540  1 Pa 3.18, 2 Th 3.24, 3 Ca 3.25-3.31